[1]
Below is crystalline SmHo2Ru2 at its relaxed geometry, with properties calculated at the PBE level.

Computed properties:
The calculation puts the formation energy at -0.267 eV/atom. The space group is No. 65. The calculation puts the spin magnetization at 0.0 Bohr magnetons per cell. The volume comes out at 119.0 Å³/f.u.

a b c (Å): 3.412 20.535 3.396
angles (deg): 90.00 90.00 90.00
Positions (direct):
1 Sm 0.000 0.000 0.000
2 Sm 0.500 0.500 0.000
3 Ho 0.000 0.166 0.000
4 Ho 0.000 0.834 0.000
5 Ho 0.500 0.334 0.000
6 Ho 0.500 0.666 0.000
7 Ru 0.000 0.409 0.500
8 Ru 0.000 0.591 0.500
9 Ru 0.500 0.091 0.500
10 Ru 0.500 0.909 0.500

[2]
Below is crystalline SmHo3Ru3 at its relaxed geometry, with properties calculated at the PBE level.

Computed properties:
The calculation puts the formation energy at -0.345 eV/atom. The space group is No. 160. The calculation puts the spin magnetization at 0.0 Bohr magnetons per cell. The volume comes out at 153.8 Å³/f.u.

a b c (Å): 5.854 5.854 5.854
angles (deg): 109.58 109.58 109.58
Positions (direct):
1 Sm 0.000 0.000 0.000
2 Ho 0.172 0.587 0.587
3 Ho 0.587 0.172 0.587
4 Ho 0.587 0.587 0.172
5 Ru 0.088 0.088 0.587
6 Ru 0.088 0.587 0.088
7 Ru 0.587 0.088 0.088

[3]
Below is crystalline Sm3Ho2Ru2 at its relaxed geometry, with properties calculated at the PBE level.

Computed properties:
The calculation puts the formation energy at -0.275 eV/atom. The space group is No. 2. The calculation puts the spin magnetization at 0.0 Bohr magnetons per cell. The volume comes out at 186.2 Å³/f.u.

a b c (Å): 3.926 6.346 8.529
angles (deg): 68.30 76.76 72.01
Positions (direct):
1 Sm 0.000 0.000 0.000
2 Sm 0.121 0.189 0.571
3 Sm 0.879 0.811 0.429
4 Ho 0.331 0.522 0.815
5 Ho 0.669 0.478 0.185
6 Ru 0.318 0.143 0.221
7 Ru 0.682 0.857 0.779